Record 1
Compound: PmUB4
Source: Alexandria via LeMat-Bulk
Functional: PBE
Structure: relaxed

Its formation energy is -0.2273 eV/atom. As for the density of states at the Fermi level: 18.8 states/eV/cell.

a b c (Å): 6.1745 12.0404 4.0891
angles (deg): 90.00 90.00 90.00
Element x y z (fractional)
Pm (0.1224, 0.1558, 0.0000)
Pm (0.3776, 0.6558, 0.0000)
Pm (0.6224, 0.3442, 0.0000)
Pm (0.8776, 0.8442, 0.0000)
U (0.1237, 0.4213, 0.0000)
U (0.3763, 0.9213, 0.0000)
U (0.6237, 0.0787, 0.0000)
U (0.8763, 0.5787, 0.0000)
B (0.0193, 0.6936, 0.5000)
B (0.1205, 0.5505, 0.5000)
B (0.1297, 0.9690, 0.5000)
B (0.2043, 0.8123, 0.5000)
B (0.2957, 0.3123, 0.5000)
B (0.3703, 0.4690, 0.5000)
B (0.3795, 0.0505, 0.5000)
B (0.4807, 0.1936, 0.5000)
B (0.5193, 0.8064, 0.5000)
B (0.6205, 0.9495, 0.5000)
B (0.6297, 0.5310, 0.5000)
B (0.7043, 0.6877, 0.5000)
B (0.7957, 0.1877, 0.5000)
B (0.8703, 0.0310, 0.5000)
B (0.8795, 0.4495, 0.5000)
B (0.9807, 0.3064, 0.5000)

***

Record 2
Compound: PmVB4
Source: Alexandria via LeMat-Bulk
Functional: PBE
Structure: relaxed

Its formation energy is -0.6167 eV/atom. As for the density of states at the Fermi level: 5.5 states/eV/cell.

a b c (Å): 6.0763 11.7690 3.5344
angles (deg): 90.00 90.00 90.00
Element x y z (fractional)
Pm (0.1228, 0.1516, 0.0000)
Pm (0.3772, 0.6516, 0.0000)
Pm (0.6228, 0.3484, 0.0000)
Pm (0.8772, 0.8484, 0.0000)
V (0.1250, 0.4183, 0.0000)
V (0.3750, 0.9183, 0.0000)
V (0.6250, 0.0817, 0.0000)
V (0.8750, 0.5817, 0.0000)
B (0.0233, 0.6903, 0.5000)
B (0.1130, 0.5464, 0.5000)
B (0.1388, 0.9670, 0.5000)
B (0.2182, 0.8155, 0.5000)
B (0.2818, 0.3155, 0.5000)
B (0.3612, 0.4670, 0.5000)
B (0.3870, 0.0464, 0.5000)
B (0.4767, 0.1903, 0.5000)
B (0.5233, 0.8097, 0.5000)
B (0.6130, 0.9536, 0.5000)
B (0.6388, 0.5330, 0.5000)
B (0.7182, 0.6845, 0.5000)
B (0.7818, 0.1845, 0.5000)
B (0.8612, 0.0330, 0.5000)
B (0.8870, 0.4536, 0.5000)
B (0.9767, 0.3097, 0.5000)

***

Record 3
Compound: PmB14W
Source: Alexandria via LeMat-Bulk
Functional: PBE
Structure: relaxed

Its formation energy is -0.0867 eV/atom. As for the density of states at the Fermi level: 6.5 states/eV/cell.

a b c (Å): 7.4781 7.4781 7.4781
angles (deg): 133.79 85.14 113.12
Element x y z (fractional)
Pm (0.3748, 0.1248, 0.2500)
Pm (0.6252, 0.8752, 0.7500)
B (0.0122, 0.1299, 0.8823)
B (0.0279, 0.2045, 0.3306)
B (0.0279, 0.6972, 0.8234)
B (0.0893, 0.6699, 0.4194)
B (0.1992, 0.5315, 0.6677)
B (0.2252, 0.5006, 0.4030)
B (0.2252, 0.8222, 0.7246)
B (0.2495, 0.3301, 0.9194)
B (0.2523, 0.8701, 0.3823)
B (0.3638, 0.5315, 0.8323)
B (0.3739, 0.2045, 0.6766)
B (0.3739, 0.6972, 0.1694)
B (0.4024, 0.1778, 0.9030)
B (0.4024, 0.4994, 0.2246)
B (0.5976, 0.5006, 0.7754)
B (0.5976, 0.8222, 0.0970)
B (0.6261, 0.3028, 0.8306)
B (0.6261, 0.7955, 0.3234)
B (0.6362, 0.4685, 0.1677)
B (0.7477, 0.1299, 0.6177)
B (0.7505, 0.6699, 0.0806)
B (0.7748, 0.1778, 0.2754)
B (0.7748, 0.4994, 0.5970)
B (0.8008, 0.4685, 0.3323)
B (0.9107, 0.3301, 0.5806)
B (0.9721, 0.3028, 0.1766)
B (0.9721, 0.7955, 0.6694)
B (0.9878, 0.8701, 0.1177)
W (0.0000, 0.0000, 0.5000)
W (0.0000, 0.5000, 0.0000)

***

Record 4
Compound: PmB3W
Source: Alexandria via LeMat-Bulk
Functional: PBE
Structure: relaxed

Its formation energy is 0.0514 eV/atom. As for the density of states at the Fermi level: 3.6 states/eV/cell.

a b c (Å): 6.8960 6.8960 3.2857
angles (deg): 90.00 90.00 123.47
Element x y z (fractional)
Pm (0.0000, 0.0000, 0.0000)
Pm (0.5000, 0.5000, 0.0000)
B (0.1113, 0.3611, 0.5000)
B (0.1878, 0.8122, 0.5000)
B (0.3611, 0.1113, 0.5000)
B (0.6389, 0.8887, 0.5000)
B (0.8122, 0.1878, 0.5000)
B (0.8887, 0.6389, 0.5000)
W (0.0000, 0.5000, 0.0000)
W (0.5000, 0.0000, 0.0000)

***

Record 5
Compound: Pm3B7W
Source: Alexandria via LeMat-Bulk
Functional: PBE
Structure: relaxed

Its formation energy is -0.4336 eV/atom. As for the density of states at the Fermi level: 6.2 states/eV/cell.

a b c (Å): 8.4220 8.4220 9.6598
angles (deg): 90.00 90.00 155.73
Element x y z (fractional)
Pm (0.1060, 0.8940, 0.5621)
Pm (0.1060, 0.8940, 0.9379)
Pm (0.2443, 0.7557, 0.2500)
Pm (0.7557, 0.2443, 0.7500)
Pm (0.8940, 0.1060, 0.0621)
Pm (0.8940, 0.1060, 0.4379)
B (0.2734, 0.7266, 0.5314)
B (0.2734, 0.7266, 0.9686)
B (0.3650, 0.6350, 0.6482)
B (0.3650, 0.6350, 0.8518)
B (0.4632, 0.5368, 0.2500)
B (0.4778, 0.5222, 0.5940)
B (0.4778, 0.5222, 0.9060)
B (0.5222, 0.4778, 0.0940)
B (0.5222, 0.4778, 0.4060)
B (0.5368, 0.4632, 0.7500)
B (0.6350, 0.3650, 0.1482)
B (0.6350, 0.3650, 0.3518)
B (0.7266, 0.2734, 0.0314)
B (0.7266, 0.2734, 0.4686)
W (0.0556, 0.9444, 0.2500)
W (0.9444, 0.0556, 0.7500)

***

Record 6
Compound: PmB6W2
Source: Alexandria via LeMat-Bulk
Functional: PBE
Structure: relaxed

Its formation energy is -0.4369 eV/atom. As for the density of states at the Fermi level: 2.4 states/eV/cell.

a b c (Å): 5.7777 5.7777 5.7777
angles (deg): 148.18 104.66 84.10
Element x y z (fractional)
Pm (0.0000, 0.0000, 0.0000)
B (0.0664, 0.3058, 0.7607)
B (0.3320, 0.5000, 0.8320)
B (0.4549, 0.6942, 0.7607)
B (0.5451, 0.3058, 0.2393)
B (0.6680, 0.5000, 0.1680)
B (0.9336, 0.6942, 0.2393)
W (0.3467, 0.8467, 0.5000)
W (0.6533, 0.1533, 0.5000)

***

Record 7
Compound: PmY2B6
Source: Alexandria via LeMat-Bulk
Functional: PBE
Structure: relaxed

Its formation energy is -0.4877 eV/atom. As for the density of states at the Fermi level: 2.9 states/eV/cell.

a b c (Å): 5.7361 5.7361 3.9487
angles (deg): 90.00 90.00 120.00
Element x y z (fractional)
Pm (0.0000, 0.0000, 0.0000)
Y (0.3333, 0.6667, 0.0000)
Y (0.6667, 0.3333, 0.0000)
B (0.0000, 0.3373, 0.5000)
B (0.0000, 0.6627, 0.5000)
B (0.3373, 0.0000, 0.5000)
B (0.3373, 0.3373, 0.5000)
B (0.6627, 0.0000, 0.5000)
B (0.6627, 0.6627, 0.5000)

***

Record 8
Compound: PmY3B
Source: Alexandria via LeMat-Bulk
Functional: PBE
Structure: relaxed

Its formation energy is 0.0403 eV/atom. As for the density of states at the Fermi level: 6.1 states/eV/cell.

a b c (Å): 5.1972 5.1972 5.1972
angles (deg): 90.00 90.00 90.00
Element x y z (fractional)
Pm (0.0000, 0.0000, 0.0000)
Y (0.0000, 0.5000, 0.5000)
Y (0.5000, 0.0000, 0.5000)
Y (0.5000, 0.5000, 0.0000)
B (0.5000, 0.5000, 0.5000)

***

Record 9
Compound: PmZrB12
Source: Alexandria via LeMat-Bulk
Functional: PBE
Structure: relaxed

Its formation energy is -0.2436 eV/atom. As for the density of states at the Fermi level: 2.2 states/eV/cell.

a b c (Å): 4.0935 4.0935 8.1696
angles (deg): 90.00 90.00 90.00
Element x y z (fractional)
Pm (0.0000, 0.0000, 0.0000)
Zr (0.0000, 0.0000, 0.5000)
B (0.1984, 0.5000, 0.2530)
B (0.1984, 0.5000, 0.7470)
B (0.5000, 0.1984, 0.2530)
B (0.5000, 0.1984, 0.7470)
B (0.5000, 0.5000, 0.1009)
B (0.5000, 0.5000, 0.4023)
B (0.5000, 0.5000, 0.5977)
B (0.5000, 0.5000, 0.8991)
B (0.5000, 0.8016, 0.2530)
B (0.5000, 0.8016, 0.7470)
B (0.8016, 0.5000, 0.2530)
B (0.8016, 0.5000, 0.7470)

***

Record 10
Compound: PrB6
Source: Alexandria via LeMat-Bulk
Functional: PBE
Structure: relaxed

Its formation energy is -0.4788 eV/atom. As for the density of states at the Fermi level: 2.2 states/eV/cell.

a b c (Å): 4.1456 4.1456 4.1456
angles (deg): 90.00 90.00 90.00
Element x y z (fractional)
Pr (0.0000, 0.0000, 0.0000)
B (0.2000, 0.5000, 0.5000)
B (0.5000, 0.2000, 0.5000)
B (0.5000, 0.5000, 0.2000)
B (0.5000, 0.5000, 0.8000)
B (0.5000, 0.8000, 0.5000)
B (0.8000, 0.5000, 0.5000)

***

Record 11
Compound: Pr4B
Source: Alexandria via LeMat-Bulk
Functional: PBE
Structure: relaxed

Its formation energy is 0.1542 eV/atom. As for the density of states at the Fermi level: 7.2 states/eV/cell.

a b c (Å): 5.4074 5.4074 5.4074
angles (deg): 90.00 90.00 90.00
Element x y z (fractional)
Pr (0.0000, 0.0000, 0.0000)
Pr (0.0000, 0.5000, 0.5000)
Pr (0.5000, 0.0000, 0.5000)
Pr (0.5000, 0.5000, 0.0000)
B (0.5000, 0.5000, 0.5000)

***

Record 12
Compound: PrB2
Source: Alexandria via LeMat-Bulk
Functional: PBE
Structure: relaxed

Its formation energy is -0.2586 eV/atom. As for the density of states at the Fermi level: 1.2 states/eV/cell.

a b c (Å): 3.9442 3.9442 3.1685
angles (deg): 103.03 103.03 89.08
Element x y z (fractional)
Pr (0.0000, 0.0000, 0.0000)
B (0.4726, 0.4726, 0.7344)
B (0.5274, 0.5274, 0.2656)

***

Record 13
Compound: PrBPt2
Source: Alexandria via LeMat-Bulk
Functional: PBE
Structure: relaxed

Its formation energy is -0.0522 eV/atom. As for the density of states at the Fermi level: 2.6 states/eV/cell.

a b c (Å): 8.1117 8.1117 8.1117
angles (deg): 24.01 24.01 24.01
Element x y z (fractional)
Pr (0.0000, 0.0000, 0.0000)
B (0.5000, 0.5000, 0.5000)
Pt (0.1231, 0.1231, 0.1231)
Pt (0.8769, 0.8769, 0.8769)

***

Record 14
Compound: PrBPt2
Source: Alexandria via LeMat-Bulk
Functional: PBE
Structure: relaxed

Its formation energy is -0.9195 eV/atom. As for the density of states at the Fermi level: 3.4 states/eV/cell.

a b c (Å): 5.5125 5.5125 8.0396
angles (deg): 90.00 90.00 120.00
Element x y z (fractional)
Pr (0.0000, 0.5000, 0.1667)
Pr (0.5000, 0.0000, 0.5000)
Pr (0.5000, 0.5000, 0.8333)
B (0.0000, 0.5000, 0.6667)
B (0.5000, 0.0000, 0.0000)
B (0.5000, 0.5000, 0.3333)
Pt (0.1538, 0.3076, 0.5000)
Pt (0.1538, 0.8462, 0.8333)
Pt (0.3076, 0.1538, 0.1667)
Pt (0.6924, 0.8462, 0.1667)
Pt (0.8462, 0.1538, 0.8333)
Pt (0.8462, 0.6924, 0.5000)

***

Record 15
Compound: PrBPt6
Source: Alexandria via LeMat-Bulk
Functional: PBE
Structure: relaxed

Its formation energy is -0.5354 eV/atom. As for the density of states at the Fermi level: 4.6 states/eV/cell.

a b c (Å): 6.0514 6.0514 6.0514
angles (deg): 55.89 55.89 55.89
Element x y z (fractional)
Pr (0.0000, 0.0000, 0.0000)
B (0.5000, 0.5000, 0.5000)
Pt (0.0721, 0.5955, 0.5955)
Pt (0.4045, 0.4045, 0.9279)
Pt (0.4045, 0.9279, 0.4045)
Pt (0.5955, 0.0721, 0.5955)
Pt (0.5955, 0.5955, 0.0721)
Pt (0.9279, 0.4045, 0.4045)

***

Record 16
Compound: Pr2BPt6
Source: Alexandria via LeMat-Bulk
Functional: PBE
Structure: relaxed

Its formation energy is -0.7682 eV/atom. As for the density of states at the Fermi level: 2.4 states/eV/cell.

a b c (Å): 5.8210 5.8210 5.6912
angles (deg): 102.82 102.82 60.01
Element x y z (fractional)
Pr (0.1346, 0.1346, 0.3141)
Pr (0.8654, 0.8654, 0.6859)
B (0.5000, 0.5000, 0.5000)
Pt (0.1205, 0.6179, 0.2126)
Pt (0.3813, 0.3813, 0.7716)
Pt (0.3821, 0.8795, 0.7874)
Pt (0.6179, 0.1205, 0.2126)
Pt (0.6187, 0.6187, 0.2284)
Pt (0.8795, 0.3821, 0.7874)

***

Record 17
Compound: PrB2Pt7
Source: Alexandria via LeMat-Bulk
Functional: PBE
Structure: relaxed

Its formation energy is -0.2681 eV/atom. As for the density of states at the Fermi level: 3.9 states/eV/cell.

a b c (Å): 6.7549 6.7549 4.2277
angles (deg): 90.00 90.00 117.35
Element x y z (fractional)
Pr (0.0000, 0.0000, 0.0000)
B (0.3119, 0.6881, 0.5000)
B (0.6881, 0.3119, 0.5000)
Pt (0.0614, 0.3368, 0.5000)
Pt (0.2659, 0.7341, 0.0000)
Pt (0.3368, 0.0614, 0.5000)
Pt (0.5000, 0.5000, 0.5000)
Pt (0.6632, 0.9386, 0.5000)
Pt (0.7341, 0.2659, 0.0000)
Pt (0.9386, 0.6632, 0.5000)

***

Record 18
Compound: PrB4Pt12
Source: Alexandria via LeMat-Bulk
Functional: PBE
Structure: relaxed

Its formation energy is -0.3106 eV/atom. As for the density of states at the Fermi level: 5.2 states/eV/cell.

a b c (Å): 6.9443 6.9443 6.9443
angles (deg): 109.47 109.47 109.47
Element x y z (fractional)
Pr (0.0000, 0.0000, 0.0000)
B (0.0000, 0.0000, 0.5000)
B (0.0000, 0.5000, 0.0000)
B (0.5000, 0.0000, 0.0000)
B (0.5000, 0.5000, 0.5000)
Pt (0.1431, 0.3258, 0.8173)
Pt (0.1827, 0.5084, 0.3258)
Pt (0.1827, 0.8569, 0.6742)
Pt (0.3258, 0.1827, 0.5084)
Pt (0.3258, 0.8173, 0.1431)
Pt (0.4916, 0.6742, 0.8173)
Pt (0.5084, 0.3258, 0.1827)
Pt (0.6742, 0.1827, 0.8569)
Pt (0.6742, 0.8173, 0.4916)
Pt (0.8173, 0.1431, 0.3258)
Pt (0.8173, 0.4916, 0.6742)
Pt (0.8569, 0.6742, 0.1827)

***

Record 19
Compound: PrB6Pt12
Source: Alexandria via LeMat-Bulk
Functional: PBE
Structure: relaxed

Its formation energy is -0.3102 eV/atom. As for the density of states at the Fermi level: 6.2 states/eV/cell.

a b c (Å): 6.8125 6.8125 6.8125
angles (deg): 105.28 105.28 105.28
Element x y z (fractional)
Pr (0.0000, 0.0000, 0.0000)
B (0.2233, 0.2233, 0.6151)
B (0.2233, 0.6151, 0.2233)
B (0.3849, 0.7767, 0.7767)
B (0.6151, 0.2233, 0.2233)
B (0.7767, 0.3849, 0.7767)
B (0.7767, 0.7767, 0.3849)
Pt (0.1278, 0.5000, 0.8722)
Pt (0.1278, 0.8722, 0.5000)
Pt (0.1805, 0.4557, 0.4557)
Pt (0.4557, 0.1805, 0.4557)
Pt (0.4557, 0.4557, 0.1805)
Pt (0.5000, 0.1278, 0.8722)
Pt (0.5000, 0.8722, 0.1278)
Pt (0.5443, 0.5443, 0.8195)
Pt (0.5443, 0.8195, 0.5443)
Pt (0.8195, 0.5443, 0.5443)
Pt (0.8722, 0.1278, 0.5000)
Pt (0.8722, 0.5000, 0.1278)

***

These records have raw total energy values of -0.5404, -0.5424, -0.5171, -0.5509, -0.5260, -0.6097, -0.5074, -0.4501, -0.5084, -0.5060, -0.3679, -0.4633, -0.4364, -0.5001, -0.4776, -0.4851, -0.4638, -0.4724, -0.4767 Ry per atom, in the order they appear.
These records have total magnetic moment values of 0.000, 0.000, 0.000, 0.000, 0.000, 0.000, 0.000, 0.000, 0.000, 0.000, 0.000, 0.117, 0.000, 0.000, 0.000, 0.000, 0.000, 0.000, 0.000 μB per cell, in the order they appear.